# 1
Here is crystalline Re3SbF at its relaxed geometry from Alexandria. Energies are from GGA-PBE.

The space-group type is Pm-3m (221). Its calculated total energy is -7.17 eV per atom. The calculation puts the raw formation energy at 1.50 eV per atom.

Cell: 4.313 4.313 4.313 Å, 90.00 90.00 90.00°
Positions (direct):
Re 0.000 0.000 0.500
Re 0.000 0.500 0.000
Re 0.500 0.000 0.000
Sb 0.500 0.500 0.500
F 0.000 0.000 0.000


# 2
Here is crystalline Re3SbF at its relaxed geometry from Alexandria. Energies are from GGA-PBE.

The space-group type is Pm-3m (221). Its calculated total energy is -5.84 eV per atom. The calculation puts the raw formation energy at 2.83 eV per atom.

Cell: 4.968 4.968 4.968 Å, 90.00 90.00 90.00°
Positions (direct):
Re 0.000 0.000 0.500
Re 0.000 0.500 0.000
Re 0.500 0.000 0.000
Sb 0.000 0.000 0.000
F 0.500 0.500 0.500


# 3
Here is crystalline Re2SbF at its relaxed geometry from Alexandria. Energies are from GGA-PBE.

The space-group type is I-42d (122). Its calculated total energy is -7.03 eV per atom. The calculation puts the raw formation energy at 0.69 eV per atom.

Cell: 5.548 5.548 5.548 Å, 102.74 102.74 123.99°
Positions (direct):
Re 0.058 0.625 0.933
Re 0.375 0.308 0.433
Re 0.692 0.125 0.067
Re 0.875 0.942 0.567
Sb 0.250 0.750 0.500
Sb 0.500 0.500 0.000
F 0.000 0.000 0.000
F 0.750 0.250 0.500


# 4
Here is crystalline ReSb2F at its relaxed geometry from Alexandria. Energies are from GGA-PBE.

The space-group type is Fm-3m (225). Its calculated total energy is -5.73 eV per atom. The calculation puts the raw formation energy at -0.08 eV per atom.

Cell: 4.669 4.669 4.669 Å, 60.00 60.00 60.00°
Positions (direct):
Re 0.000 0.000 0.000
Sb 0.250 0.250 0.250
Sb 0.750 0.750 0.750
F 0.500 0.500 0.500


# 5
Here is crystalline ReSbF2 at its relaxed geometry from Alexandria. Energies are from GGA-PBE.

The space-group type is I-42d (122). Its calculated total energy is -5.33 eV per atom. The calculation puts the raw formation energy at -0.26 eV per atom.

Cell: 5.841 5.841 5.841 Å, 101.20 101.20 127.69°
Positions (direct):
Re 0.000 0.000 0.000
Re 0.750 0.250 0.500
Sb 0.250 0.750 0.500
Sb 0.500 0.500 0.000
F 0.006 0.625 0.881
F 0.375 0.256 0.381
F 0.744 0.125 0.119
F 0.875 0.994 0.619


# 6
Here is crystalline ReSbF2 at its relaxed geometry from Alexandria. Energies are from GGA-PBE.

The space-group type is R-3m (166). Its calculated total energy is -5.26 eV per atom. The calculation puts the raw formation energy at -0.18 eV per atom.

Cell: 9.145 9.145 9.145 Å, 18.28 18.28 18.28°
Positions (direct):
Re 0.000 0.000 0.000
Sb 0.500 0.500 0.500
F 0.423 0.423 0.423
F 0.577 0.577 0.577


# 7
Here is crystalline ReSbF2 at its relaxed geometry from Alexandria. Energies are from GGA-PBE.

The space-group type is Fm-3m (225). Its calculated total energy is -4.92 eV per atom. The calculation puts the raw formation energy at 0.16 eV per atom.

Cell: 4.417 4.417 4.417 Å, 60.00 60.00 60.00°
Positions (direct):
Re 0.000 0.000 0.000
Sb 0.500 0.500 0.500
F 0.250 0.250 0.250
F 0.750 0.750 0.750


# 8
Here is crystalline ReSb2TeF at its relaxed geometry from Alexandria. Energies are from GGA-PBE.

The space-group type is P4/mmm (123). Its calculated total energy is -4.84 eV per atom. The calculation puts the raw formation energy at 0.30 eV per atom.

Cell: 5.185 5.185 5.194 Å, 90.00 90.00 90.00°
Positions (direct):
Re 0.000 0.000 0.000
Sb 0.000 0.500 0.000
Sb 0.500 0.000 0.000
Te 0.000 0.000 0.500
F 0.500 0.500 0.500